A plane-wave DFT calculation with PBE-GGA was carried out for a geometry-optimized ZrTlIr2 structure.

Unit cell a=4.678 b=4.678 c=4.678 alpha=60.00 beta=60.00 gamma=60.00
Last column: magnetic moment on the atom in μB.
Sites, in units of the cell vectors:
Zr  0.000  0.000  0.000  0.01
Ir  0.750  0.750  0.750  0.33
Tl  0.500  0.500  0.500  0.01
Ir  0.250  0.250  0.250  0.33

## Properties
As for the formation enthalpy at 0 K: -0.2060 eV/atom. Its space-group type is No. 225.

A plane-wave DFT calculation with PBE-GGA was carried out for a geometry-optimized MnRhW structure.

Unit cell a=2.752 b=2.752 c=6.639 alpha=90.00 beta=90.00 gamma=120.00
Last column: magnetic moment on the atom in μB.
Sites, in units of the cell vectors:
Mn  0.000  0.000  0.005  2.72
W  0.333  0.667  0.668  -0.17
Rh  0.667  0.333  0.328  0.00

## Properties
As for the formation enthalpy at 0 K: 0.1201 eV/atom. Its space-group type is No. 156. The value obtained for the energy above the most stable polymorph in this dataset is 121 meV per atom.

A plane-wave DFT calculation with PBE-GGA was carried out for a geometry-optimized YAs2Os structure.

Unit cell a=4.003 b=4.003 c=6.057 alpha=70.73 beta=70.73 gamma=60.02
Sites, in units of the cell vectors:
As  0.481  0.481  0.556
Y  0.250  0.250  0.250
As  0.019  0.019  0.944
Os  0.750  0.750  0.750

## Properties
As for the formation enthalpy at 0 K: -0.5397 eV/atom. Its space-group type is No. 166. The value obtained for the energy above the most stable polymorph in this dataset is 0 meV per atom.

A plane-wave DFT calculation with PBE-GGA was carried out for a geometry-optimized MgMnAg2Cl6 structure.

Unit cell a=6.681 b=6.679 c=6.988 alpha=61.48 beta=61.49 gamma=60.00
Last column: magnetic moment on the atom in μB.
Sites, in units of the cell vectors:
Cl  0.691  0.080  0.779  0.03
Ag  0.541  0.542  0.376  0.01
Cl  0.451  0.690  0.777  0.03
Cl  0.953  0.579  0.277  0.03
Cl  0.082  0.450  0.777  0.03
Cl  0.191  0.953  0.277  0.03
Cl  0.579  0.191  0.278  0.03
Mg  0.320  0.320  0.039  0.01
Ag  0.037  0.036  0.891  0.01
Mn  0.819  0.819  0.544  4.43

## Properties
The calculation puts the energy relative to the elements, uncorrected at -10.2 eV per formula unit. Its space-group type is No. 146.

A plane-wave DFT calculation with PBE-GGA was carried out for a geometry-optimized TlPbCl structure.

Unit cell a=5.395 b=5.395 c=3.448 alpha=90.00 beta=90.00 gamma=120.00
Sites, in units of the cell vectors:
Cl  0.000  0.000  0.167
Pb  0.667  0.333  0.166
Tl  0.333  0.667  0.667

## Properties
The calculation puts the energy relative to the elements, uncorrected at -1.0 eV per formula unit. Its space-group type is No. 187. The value obtained for the energy above the most stable polymorph in this dataset is 106 meV per atom.

A plane-wave DFT calculation with PBE-GGA was carried out for a geometry-optimized Eu2GdZn structure.

Unit cell a=4.108 b=5.486 c=5.486 alpha=90.00 beta=90.00 gamma=90.00
Last column: magnetic moment on the atom in μB.
Sites, in units of the cell vectors:
Gd  0.500  0.500  0.500  6.92
Zn  0.500  0.000  0.000  -0.03
Eu  0.000  0.500  0.000  -6.88
Eu  0.000  0.000  0.500  -6.88

## Properties
As for the formation enthalpy at 0 K: 0.0675 eV/atom. Its space-group type is No. 123.

A plane-wave DFT calculation with PBE-GGA was carried out for a geometry-optimized Ce2VAs structure.

Unit cell a=3.698 b=3.698 c=8.801 alpha=77.87 beta=77.87 gamma=60.00
Last column: magnetic moment on the atom in μB.
Sites, in units of the cell vectors:
Ce  0.909  0.909  0.273  0.21
Ce  0.091  0.091  0.727  0.21
As  0.500  0.500  0.500  0.00
V  0.000  0.000  0.000  0.59

## Properties
As for the formation enthalpy at 0 K: 0.1204 eV/atom. Its space-group type is No. 166.

A plane-wave DFT calculation with PBE-GGA was carried out for a geometry-optimized Sr2Ge2BiAu6 structure.

Unit cell a=6.892 b=6.892 c=9.572 alpha=68.90 beta=68.90 gamma=60.00
Sites, in units of the cell vectors:
Au  0.821  0.231  0.718
Au  0.231  0.231  0.718
Sr  0.793  0.793  0.622
Au  0.231  0.821  0.718
Au  0.769  0.769  0.282
Au  0.769  0.179  0.282
Ge  0.548  0.548  0.357
Au  0.179  0.769  0.282
Ge  0.452  0.452  0.643
Bi  0.000  0.000  0.000
Sr  0.207  0.207  0.378

## Properties
As for the formation enthalpy at 0 K: -0.2761 eV/atom. Its space-group type is No. 166.

A plane-wave DFT calculation with PBE-GGA was carried out for a geometry-optimized TcSb2Te structure.

Unit cell a=6.865 b=6.865 c=4.764 alpha=69.60 beta=69.60 gamma=27.59
Sites, in units of the cell vectors:
Tc  0.750  0.750  0.750
Sb  0.069  0.069  0.931
Te  0.250  0.250  0.250
Sb  0.431  0.431  0.569

## Properties
The calculation puts the energy relative to the elements, uncorrected at 1.0 eV per formula unit. Its space-group type is No. 12. The value obtained for the energy above the most stable polymorph in this dataset is 200 meV per atom.

A plane-wave DFT calculation with PBE-GGA was carried out for a geometry-optimized KUTcN3 structure.

Unit cell a=3.505 b=7.775 c=8.385 alpha=104.96 beta=90.00 gamma=90.00
Sites, in units of the cell vectors:
N  0.250  0.532  0.883
N  0.250  0.824  0.476
N  0.750  0.829  0.154
Tc  0.750  0.895  0.408
K  0.750  0.814  0.792
Tc  0.250  0.105  0.592
U  0.750  0.344  0.848
N  0.250  0.171  0.846
U  0.250  0.656  0.152
N  0.750  0.468  0.117
N  0.750  0.176  0.524
K  0.250  0.186  0.208

## Properties
The calculation puts the energy relative to the elements, uncorrected at -3.4 eV per formula unit. Its space-group type is No. 11.

A plane-wave DFT calculation with PBE-GGA was carried out for a geometry-optimized Th4GaGeSe2 structure.

Unit cell a=4.310 b=7.295 c=7.480 alpha=70.11 beta=90.00 gamma=90.00
Sites, in units of the cell vectors:
Ga  0.000  0.500  0.500
Th  0.500  0.259  0.747
Se  0.000  0.000  0.000
Se  0.500  0.000  0.500
Th  0.500  0.741  0.253
Ge  0.500  0.500  0.000
Th  0.000  0.741  0.753
Th  0.000  0.259  0.247

## Properties
The calculation puts the energy relative to the elements, uncorrected at -8.8 eV per formula unit. Its space-group type is No. 10.

A plane-wave DFT calculation with PBE-GGA was carried out for a geometry-optimized Pr3S3Cl2 structure.

Unit cell a=3.814 b=4.485 c=11.240 alpha=101.51 beta=99.77 gamma=90.00
Sites, in units of the cell vectors:
Cl  0.756  0.256  0.512
Pr  0.000  0.500  0.000
S  0.385  0.385  0.769
Cl  0.244  0.744  0.488
Pr  0.845  0.845  0.690
S  0.615  0.615  0.231
Pr  0.155  0.155  0.310
S  0.500  0.000  0.000

## Properties
The calculation puts the energy relative to the elements, uncorrected at -14.8 eV per formula unit. Its space-group type is No. 71.

A plane-wave DFT calculation with PBE-GGA was carried out for a geometry-optimized Li3Pa6S14 structure.

Unit cell a=5.694 b=9.691 c=9.691 alpha=120.00 beta=90.00 gamma=90.00
Last column: magnetic moment on the atom in μB.
Sites, in units of the cell vectors:
S  0.499  0.238  0.414  -0.03
Pa  0.745  0.039  0.476  0.76
S  0.499  0.176  0.762  -0.03
Li  0.832  0.000  0.000  0.00
Pa  0.241  0.294  0.192  0.76
S  0.724  0.768  0.182  -0.03
Pa  0.745  0.524  0.564  0.76
S  0.439  0.000  0.000  -0.03
S  0.997  0.158  0.905  -0.03
Pa  0.745  0.436  0.961  0.76
S  0.232  0.568  0.486  -0.03
S  0.997  0.747  0.842  -0.03
Li  0.335  0.333  0.667  0.00
S  0.724  0.414  0.232  -0.03
S  0.499  0.586  0.824  -0.03
S  0.232  0.918  0.432  -0.03
S  0.997  0.095  0.253  -0.03
Li  0.482  0.667  0.333  0.00
Pa  0.241  0.808  0.102  0.76
S  0.942  0.333  0.667  -0.03
S  0.232  0.514  0.082  -0.03
S  0.724  0.818  0.586  -0.03
Pa  0.241  0.898  0.706  0.76

## Properties
The calculation puts the energy relative to the elements, uncorrected at -35.5 eV per formula unit. Its space-group type is No. 143.

A plane-wave DFT calculation with PBE-GGA was carried out for a geometry-optimized U2TaS6 structure.

Unit cell a=4.686 b=6.732 c=8.527 alpha=63.41 beta=74.05 gamma=69.63
Last column: magnetic moment on the atom in μB.
Sites, in units of the cell vectors:
S  0.007  0.781  0.205  -0.08
S  0.993  0.219  0.795  -0.08
S  0.626  0.308  0.440  -0.07
U  0.187  0.775  0.851  1.99
U  0.813  0.225  0.149  1.99
Ta  0.000  0.500  0.500  0.86
S  0.374  0.692  0.560  -0.07
S  0.666  0.687  0.981  -0.08
S  0.334  0.313  0.019  -0.08

## Properties
The calculation puts the energy relative to the elements, uncorrected at -7.5 eV per formula unit. Its space-group type is No. 12.

A plane-wave DFT calculation with PBE-GGA was carried out for a geometry-optimized TiNbTe2 structure.

Unit cell a=3.517 b=3.517 c=9.250 alpha=90.04 beta=90.00 gamma=120.01
Last column: magnetic moment on the atom in μB.
Sites, in units of the cell vectors:
Te  0.736  0.494  0.029  0.00
Te  0.402  0.830  0.533  -0.05
Ti  0.736  0.497  0.727  0.88
Nb  0.403  0.828  0.230  -0.15

## Properties
The calculation puts the energy relative to the elements, uncorrected at 0.0 eV per formula unit. Its space-group type is No. 8. The value obtained for the energy above the most stable polymorph in this dataset is 266 meV per atom.

A plane-wave DFT calculation with PBE-GGA was carried out for a geometry-optimized Cs3HfNp3Se8 structure.

Unit cell a=8.363 b=8.361 c=9.817 alpha=115.20 beta=90.00 gamma=120.01
Last column: magnetic moment on the atom in μB.
Sites, in units of the cell vectors:
Se  0.216  0.962  0.678  -0.05
Se  0.254  0.038  0.322  -0.05
Se  0.729  0.457  0.686  -0.08
Cs  0.500  0.500  0.000  0.00
Se  0.784  0.038  0.322  -0.05
Hf  0.000  0.000  0.500  0.15
Se  0.271  0.543  0.314  -0.08
Cs  0.000  0.000  0.000  0.00
Np  0.500  0.500  0.500  3.91
Se  0.784  0.568  0.322  -0.05
Np  0.500  0.000  0.500  3.91
Se  0.216  0.432  0.678  -0.05
Np  0.000  0.500  0.500  3.91
Se  0.746  0.962  0.678  -0.05
Cs  0.000  0.500  0.000  0.00

## Properties
The calculation puts the energy relative to the elements, uncorrected at -19.0 eV per formula unit. Its space-group type is No. 166.

A plane-wave DFT calculation with PBE-GGA was carried out for a geometry-optimized ZrCo2HPd structure.

Unit cell a=3.821 b=3.821 c=4.042 alpha=90.00 beta=90.00 gamma=90.00
Last column: magnetic moment on the atom in μB.
Sites, in units of the cell vectors:
Zr  0.000  0.000  0.500  -0.16
Co  0.500  0.000  0.000  0.55
Co  0.000  0.500  0.000  0.55
Pd  0.500  0.500  0.500  0.03
H  0.000  0.000  0.000  0.00

## Properties
Its space-group type is No. 123. The value obtained for the energy above the most stable polymorph in this dataset is 8 meV per atom.

A plane-wave DFT calculation with PBE-GGA was carried out for a geometry-optimized Mn2MoCl structure.

Unit cell a=3.000 b=3.000 c=7.267 alpha=90.00 beta=90.00 gamma=90.00
Last column: magnetic moment on the atom in μB.
Sites, in units of the cell vectors:
Mn  0.000  0.000  0.023  3.47
Mo  0.500  0.500  0.250  -0.95
Mn  0.000  0.000  0.477  3.47
Cl  0.500  0.500  0.750  0.06

## Properties
The calculation puts the energy relative to the elements, uncorrected at 1.0 eV per formula unit. Its space-group type is No. 123. The value obtained for the energy above the most stable polymorph in this dataset is 104 meV per atom.

A plane-wave DFT calculation with PBE-GGA was carried out for a geometry-optimized LuHfFeTc structure.

Unit cell a=4.621 b=4.621 c=4.621 alpha=60.00 beta=60.00 gamma=60.00
Last column: magnetic moment on the atom in μB.
Sites, in units of the cell vectors:
Lu  0.000  0.000  0.000  -0.06
Hf  0.500  0.500  0.500  -0.20
Tc  0.250  0.250  0.250  0.25
Fe  0.750  0.750  0.750  1.31

## Properties
As for the formation enthalpy at 0 K: -0.1408 eV/atom. Its space-group type is No. 216.

A plane-wave DFT calculation with PBE-GGA was carried out for a geometry-optimized KCo4Cu structure.

Unit cell a=4.986 b=4.986 c=4.986 alpha=60.00 beta=60.00 gamma=60.00
Last column: magnetic moment on the atom in μB.
Sites, in units of the cell vectors:
Co  0.871  0.376  0.376  1.77
K  0.000  0.000  0.000  -0.04
Co  0.376  0.871  0.376  1.77
Co  0.376  0.376  0.376  1.77
Co  0.376  0.376  0.871  1.77
Cu  0.750  0.750  0.750  0.07

## Properties
As for the formation enthalpy at 0 K: 0.7518 eV/atom. Its space-group type is No. 216.

A plane-wave DFT calculation with PBE-GGA was carried out for a geometry-optimized RbInTc2Hg structure.

Unit cell a=5.048 b=5.048 c=5.967 alpha=90.00 beta=90.00 gamma=90.00
Last column: magnetic moment on the atom in μB.
Sites, in units of the cell vectors:
Hg  0.500  0.500  0.500  0.02
In  0.000  0.000  0.500  -0.05
Rb  0.000  0.000  0.000  0.03
Tc  0.500  0.000  0.000  2.46
Tc  0.000  0.500  0.000  2.46

## Properties
As for the formation enthalpy at 0 K: 2.5681 eV/atom. Its space-group type is No. 123.

A plane-wave DFT calculation with PBE-GGA was carried out for a geometry-optimized PuNbAs structure.

Unit cell a=3.730 b=4.463 c=4.463 alpha=120.00 beta=90.00 gamma=90.00
Last column: magnetic moment on the atom in μB.
Sites, in units of the cell vectors:
As  0.167  0.000  0.000  -0.03
Pu  0.667  0.667  0.333  5.11
Nb  0.167  0.333  0.667  -0.25

## Properties
As for the formation enthalpy at 0 K: -0.2235 eV/atom. Its space-group type is No. 187.

A plane-wave DFT calculation with PBE-GGA was carried out for a geometry-optimized KCrMo structure.

Unit cell a=4.813 b=4.813 c=4.813 alpha=60.00 beta=60.00 gamma=60.00
Last column: magnetic moment on the atom in μB.
Sites, in units of the cell vectors:
Cr  0.250  0.250  0.250  3.60
K  0.000  0.000  0.000  0.02
Mo  0.500  0.500  0.500  -2.83

## Properties
As for the formation enthalpy at 0 K: 1.9098 eV/atom. Its space-group type is No. 216. The value obtained for the energy above the most stable polymorph in this dataset is 914 meV per atom.

A plane-wave DFT calculation with PBE-GGA was carried out for a geometry-optimized TaCuRe3 structure.

Unit cell a=4.752 b=4.752 c=4.752 alpha=90.00 beta=90.00 gamma=90.00
Sites, in units of the cell vectors:
Cu  0.500  0.500  0.500
Re  0.000  0.000  0.500
Ta  0.000  0.000  0.000
Re  0.500  0.000  0.000
Re  0.000  0.500  0.000

## Properties
As for the formation enthalpy at 0 K: 2.5322 eV/atom. Its space-group type is No. 221. The value obtained for the energy above the most stable polymorph in this dataset is 875 meV per atom.

A plane-wave DFT calculation with PBE-GGA was carried out for a geometry-optimized Ho4S5O structure.

Unit cell a=3.699 b=7.140 c=9.331 alpha=112.51 beta=101.43 gamma=90.00
Sites, in units of the cell vectors:
S  0.500  0.500  0.000
S  0.839  0.081  0.678
Ho  0.718  0.218  0.437
O  0.500  0.000  0.000
S  0.161  0.919  0.322
S  0.839  0.597  0.678
S  0.161  0.403  0.322
Ho  0.282  0.782  0.563
Ho  0.000  0.227  0.000
Ho  0.000  0.773  0.000

## Properties
The calculation puts the energy relative to the elements, uncorrected at -21.7 eV per formula unit. Its space-group type is No. 71.

A plane-wave DFT calculation with PBE-GGA was carried out for a geometry-optimized Sc2Al2W structure.

Unit cell a=6.969 b=6.969 c=3.910 alpha=90.00 beta=90.00 gamma=90.00
Sites, in units of the cell vectors:
W  0.500  0.500  0.000
Sc  0.677  0.823  0.500
Al  0.132  0.368  0.000
Sc  0.823  0.323  0.500
Al  0.868  0.632  0.000
W  0.000  0.000  0.000
Al  0.368  0.868  0.000
Al  0.632  0.132  0.000
Sc  0.177  0.677  0.500
Sc  0.323  0.177  0.500

## Properties
As for the formation enthalpy at 0 K: -0.0288 eV/atom. Its space-group type is No. 127.